Entry 1:
VASP calculation (PBE) on a geometry-optimized BaMn2As structure.

Unit cell a=3.9481 b=3.9508 c=6.4193 alpha=90.00 beta=90.06 gamma=90.00
Closest atoms and distances in Å follow each position.
Fractional positions:
1 Ba 0.0000 0.0000 0.0000  4 As 3.33, 4 Mn 3.67
2 Mn 0.4990 0.0000 0.4820  2 As 2.49
3 Mn 0.9989 0.5000 0.4817  2 As 2.49
4 As 0.4994 0.5000 0.7184  4 Mn 2.49

Entry 2:
VASP calculation (PBE) on a geometry-optimized BaMn2As structure.

Unit cell a=6.5515 b=6.5515 c=6.5515 alpha=37.04 beta=37.04 gamma=37.04
Closest atoms and distances in Å follow each position.
Fractional positions:
1 Ba 0.0000 0.0000 0.0000  4 As 3.38-3.72, 7 Mn 3.50-3.77
2 Mn 0.4920 0.4920 0.4920  3 Mn 2.43, 3 As 2.54
3 Mn 0.8056 0.8056 0.8056  3 Mn 2.43, 3 As 2.68
4 As 0.2036 0.2036 0.2036  6 Mn 2.54-2.68

Entry 3:
VASP calculation (PBE) on a geometry-optimized BaMn2As structure.

Unit cell a=5.1534 b=5.1534 c=5.1534 alpha=60.00 beta=60.00 gamma=60.00
Closest atoms and distances in Å follow each position.
Fractional positions:
1 Ba 0.0000 0.0000 0.0000  4 Mn 3.16, 4 As 3.16
2 Mn 0.5000 0.5000 0.5000  4 As 3.16, 4 Mn 3.16
3 Mn 0.7500 0.7500 0.7500  4 Mn 3.16, 4 Ba 3.16
4 As 0.2500 0.2500 0.2500  4 Mn 3.16, 4 Ba 3.16

Entry 4:
VASP calculation (PBE) on a geometry-optimized BaMnAs2 structure.

Unit cell a=3.6848 b=3.6848 c=6.9545 alpha=90.00 beta=90.00 gamma=90.00
Closest atoms and distances in Å follow each position.
Fractional positions:
1 Ba 0.0000 0.0000 0.0000  8 As 3.42, 2 Mn 3.48, 4 Ba 3.68
2 Mn 0.0000 0.0000 0.5000  8 As 2.89
3 As 0.5000 0.5000 0.3193  1 As 2.51
4 As 0.5000 0.5000 0.6807  1 As 2.51

Entry 5:
VASP calculation (PBE) on a geometry-optimized BaMnAs2 structure.

Unit cell a=3.7669 b=3.7669 c=7.4986 alpha=90.00 beta=90.00 gamma=90.00
Closest atoms and distances in Å follow each position.
Fractional positions:
1 Ba 0.0000 0.0000 0.0000  5 As 3.20-3.37
2 Mn 0.5000 0.5000 0.4456  5 As 2.39-2.66
3 As 0.0000 0.0000 0.4489  4 Mn 2.66
4 As 0.5000 0.5000 0.7641  1 Mn 2.39

Entry 6:
VASP calculation (PBE) on a geometry-optimized BaMnAs4 structure.

Unit cell a=5.8433 b=5.8433 c=5.8433 alpha=60.00 beta=60.00 gamma=60.00
Closest atoms and distances in Å follow each position.
Fractional positions:
1 Ba 0.0000 0.0000 0.0000  12 As 3.44, 4 Mn 3.58
2 Mn 0.7500 0.7500 0.7500  12 As 3.41, 4 Ba 3.58
3 As 0.3813 0.3813 0.3813  6 As 2.77-3.07
4 As 0.3813 0.3813 0.8560  6 As 2.77-3.07
5 As 0.3813 0.8560 0.3813  6 As 2.77-3.07
6 As 0.8560 0.3813 0.3813  6 As 2.77-3.07

Entry 7:
VASP calculation (PBE) on a geometry-optimized BaMnAs2 structure.

Unit cell a=4.9676 b=4.9676 c=4.9676 alpha=60.00 beta=60.00 gamma=60.00
Closest atoms and distances in Å follow each position.
Fractional positions:
1 Ba 0.0000 0.0000 0.0000  8 As 3.04
2 Mn 0.5000 0.5000 0.5000  8 As 3.04
3 As 0.2500 0.2500 0.2500  4 Mn 3.04, 4 Ba 3.04
4 As 0.7500 0.7500 0.7500  4 Mn 3.04, 4 Ba 3.04

Entry 8:
VASP calculation (PBE) on a geometry-optimized BaMnAs2 structure.

Unit cell a=7.6759 b=7.6759 c=7.6759 alpha=152.54 beta=151.45 gamma=40.02
Closest atoms and distances in Å follow each position.
Fractional positions:
1 Ba 0.0000 0.0000 0.0000  6 As 3.26-3.35, 2 Ba 3.64
2 Mn 0.2483 0.7483 0.5000  6 As 2.49-2.75
3 As 0.3663 0.3663 0.0000  2 Mn 2.49
4 As 0.6918 0.1918 0.5000  4 Mn 2.75

Number 1: energy of formation 0.047 eV/atom. Number 2: energy of formation -0.209 eV/atom. Number 3: energy of formation 0.479 eV/atom. Number 4: energy of formation -0.214 eV/atom. Number 5: energy of formation -0.130 eV/atom. Number 6: energy of formation 0.076 eV/atom. Number 7: energy of formation 0.380 eV/atom. Number 8: energy of formation -0.276 eV/atom.